No. 1
Computed, not measured: Gd5Re2Br3O10 after structural relaxation at the GGA-PBE level of DFT.

The structure in POSCAR format:
```
Gd5Re2Br3O10
1.0
-5.612 0.641 3.681
-1.852 -2.922 5.787
5.166 7.199 2.956
O Gd Br Re
10 5 3 2
Direct
0.266 0.768 0.281
0.824 0.824 0.813
0.410 0.903 0.563
0.734 0.232 0.719
0.768 0.266 0.281
0.097 0.590 0.437
0.232 0.734 0.719
0.590 0.097 0.437
0.903 0.410 0.563
0.176 0.176 0.187
0.313 0.313 0.612
0.687 0.687 0.388
0.639 0.639 0.746
0.361 0.361 0.254
0.000 0.000 0.500
0.206 0.206 0.887
0.500 0.500 0.000
0.794 0.794 0.113
0.977 0.977 0.860
0.023 0.023 0.140
```

Calculated volume: 15.572 Å³/atom
Mass density: 8.31 g cm⁻³
Uncorrected energy: -7.56 eV/atom
Symmetry: C2/m (12)

=====

No. 2
Computed, not measured: Gd5Se2Br3O10 after structural relaxation at the GGA-PBE level of DFT.

The structure in POSCAR format:
```
Gd5Se2Br3O10
1.0
-1.344 3.852 -3.667
6.452 -1.946 -0.306
-2.861 -7.096 -6.406
Gd Br O Se
5 3 10 2
Direct
0.000 0.000 0.000
0.707 0.414 0.897
0.609 0.218 0.233
0.293 0.586 0.103
0.391 0.782 0.767
0.822 0.644 0.632
0.500 0.000 0.500
0.178 0.356 0.368
0.715 0.908 0.201
0.193 0.908 0.201
0.285 0.092 0.799
0.787 0.574 0.276
0.894 0.295 0.060
0.213 0.426 0.724
0.106 0.705 0.940
0.401 0.295 0.060
0.807 0.092 0.799
0.599 0.705 0.940
0.922 0.844 0.312
0.078 0.156 0.688
```

Calculated volume: 16.852 Å³/atom
Mass density: 6.62 g cm⁻³
Uncorrected energy: -6.74 eV/atom
Symmetry: C2/m (12)

=====

No. 3
Computed, not measured: SmGdBr2O2 after structural relaxation at the GGA-PBE level of DFT.

The structure in POSCAR format:
```
SmGdBr2O2
1.0
3.890 0.000 0.000
0.000 3.890 0.000
0.000 0.000 8.376
Br Gd O Sm
2 1 2 1
Direct
0.000 0.000 0.338
0.500 0.500 0.665
0.000 0.000 0.861
0.000 0.500 0.998
0.500 0.000 0.998
0.500 0.500 0.142
```

Calculated volume: 21.122 Å³/atom
Mass density: 6.54 g cm⁻³
Uncorrected energy: -6.67 eV/atom
Symmetry: P4mm (99)

=====

No. 4
Computed, not measured: GdTmBr2O2 after structural relaxation at the GGA-PBE level of DFT.

The structure in POSCAR format:
```
GdTmBr2O2
1.0
3.823 0.000 0.000
0.000 3.823 0.000
0.000 0.000 8.608
Br Tm O Gd
2 1 2 1
Direct
0.000 0.000 0.676
0.500 0.500 0.327
0.500 0.500 0.870
0.000 0.500 0.996
0.500 0.000 0.996
0.000 0.000 0.135
```

Calculated volume: 20.968 Å³/atom
Mass density: 6.84 g cm⁻³
Uncorrected energy: -6.66 eV/atom
Symmetry: P4mm (99)

=====

No. 5
Computed, not measured: PrGdSbBr2 after structural relaxation at the GGA-PBE level of DFT.

The structure in POSCAR format:
```
PrGdSbBr2
1.0
-3.942 -0.777 1.607
3.250 -2.736 0.824
2.552 5.755 9.045
Br Pr Sb Gd
2 1 1 1
Direct
0.000 0.000 0.324
0.333 0.667 0.684
0.333 0.667 0.161
0.667 0.333 0.993
0.000 0.000 0.838
```

Calculated volume: 35.745 Å³/atom
Mass density: 5.39 g cm⁻³
Uncorrected energy: -4.89 eV/atom
Symmetry: P3m1 (156)

=====

No. 6
Computed, not measured: Pr2Gd2SiBr5 after structural relaxation at the GGA-PBE level of DFT.

The structure in POSCAR format:
```
Pr2Gd2SiBr5
1.0
-6.491 -5.902 3.670
-4.131 -8.450 1.401
6.131 0.089 6.279
Br Gd Si Pr
5 2 1 2
Direct
0.500 0.500 0.500
0.168 0.168 0.315
0.832 0.832 0.685
0.824 0.824 0.148
0.176 0.176 0.852
0.649 0.649 0.077
0.351 0.351 0.923
0.500 0.500 0.000
0.001 0.001 0.775
0.999 0.999 0.225
```

Calculated volume: 33.022 Å³/atom
Mass density: 5.15 g cm⁻³
Uncorrected energy: -4.77 eV/atom
Symmetry: C2/m (12)

=====

No. 7
Computed, not measured: PrGdSi2Br2 after structural relaxation at the GGA-PBE level of DFT.

The structure in POSCAR format:
```
PrGdSi2Br2
1.0
-0.863 2.032 3.461
-3.020 -1.751 -2.160
1.294 -9.545 5.926
Pr Br Si Gd
1 2 2 1
Direct
0.000 0.000 0.175
0.333 0.667 0.665
0.667 0.333 0.345
0.333 0.667 0.002
0.667 0.333 0.988
0.000 0.000 0.825
```

Calculated volume: 27.512 Å³/atom
Mass density: 5.17 g cm⁻³
Uncorrected energy: -5.18 eV/atom
Symmetry: P3m1 (156)

=====

No. 8
Computed, not measured: GdPuBr6 after structural relaxation at the GGA-PBE level of DFT.

The structure in POSCAR format:
```
GdPuBr6
1.0
3.694 -6.384 0.000
3.694 6.384 0.000
-2.538 0.000 6.726
Pu Br Gd
1 6 1
Direct
0.166 0.834 0.000
0.424 0.063 0.763
0.586 0.942 0.236
0.937 0.576 0.237
0.058 0.414 0.764
0.775 0.780 0.762
0.220 0.225 0.238
0.834 0.166 0.000
```

Calculated volume: 39.647 Å³/atom
Mass density: 4.61 g cm⁻³
Uncorrected energy: -5.33 eV/atom
Symmetry: C2 (5)

=====

No. 9
Computed, not measured: Gd3Si2S8Br after structural relaxation at the GGA-PBE level of DFT.

The structure in POSCAR format:
```
Gd3Si2S8Br
1.0
0.000 -7.546 0.000
7.829 3.773 -0.031
-1.781 0.000 10.643
S Si Br Gd
16 4 2 6
Direct
0.398 0.133 0.034
0.101 0.714 0.858
0.260 0.710 0.171
0.450 0.710 0.671
0.613 0.714 0.358
0.899 0.286 0.142
0.266 0.867 0.466
0.734 0.133 0.534
0.851 0.568 0.588
0.740 0.290 0.829
0.149 0.432 0.412
0.602 0.867 0.966
0.387 0.286 0.642
0.716 0.568 0.088
0.550 0.290 0.329
0.284 0.432 0.912
0.306 0.685 0.976
0.379 0.685 0.476
0.621 0.315 0.524
0.694 0.315 0.024
0.989 0.000 0.750
0.011 0.000 0.250
0.673 0.598 0.818
0.925 0.598 0.318
0.075 0.402 0.682
0.327 0.402 0.182
0.370 0.000 0.750
0.630 0.000 0.250
```

Calculated volume: 22.441 Å³/atom
Mass density: 4.57 g cm⁻³
Uncorrected energy: -5.70 eV/atom
Symmetry: C2/c (15)

=====

No. 10
Computed, not measured: GdSbBr6 after structural relaxation at the GGA-PBE level of DFT.

The structure in POSCAR format:
```
GdSbBr6
1.0
-0.812 6.722 -2.306
-1.679 -1.713 6.738
6.936 -0.345 0.344
Br Gd Sb
6 1 1
Direct
0.761 0.762 0.753
0.586 0.937 0.248
0.936 0.584 0.249
0.063 0.414 0.752
0.416 0.064 0.751
0.238 0.239 0.247
0.166 0.834 0.000
0.834 0.166 0.000
```

Calculated volume: 35.985 Å³/atom
Mass density: 4.37 g cm⁻³
Uncorrected energy: -3.59 eV/atom
Symmetry: C2 (5)

=====

No. 11
Computed, not measured: SmGdSbBr2 after structural relaxation at the GGA-PBE level of DFT.

The structure in POSCAR format:
```
SmGdSbBr2
1.0
-2.137 -2.189 3.001
4.190 0.763 0.480
-2.295 9.346 5.181
Br Sb Gd Sm
2 1 1 1
Direct
0.000 0.000 0.321
0.333 0.667 0.682
0.667 0.333 0.997
0.000 0.000 0.839
0.333 0.667 0.161
```

Calculated volume: 34.771 Å³/atom
Mass density: 5.63 g cm⁻³
Uncorrected energy: -4.87 eV/atom
Symmetry: P3m1 (156)

=====

No. 12
Computed, not measured: TbGdSbBr2 after structural relaxation at the GGA-PBE level of DFT.

The structure in POSCAR format:
```
TbGdSbBr2
1.0
4.248 0.000 0.000
-2.124 3.679 0.000
0.000 0.000 10.854
Br Tb Sb Gd
2 1 1 1
Direct
0.000 0.000 0.318
0.333 0.667 0.680
0.333 0.667 0.161
0.667 0.333 0.001
0.000 0.000 0.839
```

Calculated volume: 33.930 Å³/atom
Mass density: 5.85 g cm⁻³
Uncorrected energy: -4.84 eV/atom
Symmetry: P3m1 (156)

=====

No. 13
Computed, not measured: GdTmSbBr2 after structural relaxation at the GGA-PBE level of DFT.

The structure in POSCAR format:
```
GdTmSbBr2
1.0
4.213 0.000 0.000
-2.106 3.648 0.000
0.000 0.000 10.778
Br Sb Tm Gd
2 1 1 1
Direct
0.000 0.000 0.316
0.333 0.667 0.678
0.667 0.333 0.005
0.333 0.667 0.161
0.000 0.000 0.840
```

Calculated volume: 33.126 Å³/atom
Mass density: 6.09 g cm⁻³
Uncorrected energy: -4.76 eV/atom
Symmetry: P3m1 (156)

=====

No. 14
Computed, not measured: GdYSbBr2 after structural relaxation at the GGA-PBE level of DFT.

The structure in POSCAR format:
```
GdYSbBr2
1.0
-1.142 -3.733 -1.657
2.864 0.146 3.125
-7.953 -0.819 7.326
Gd Br Y Sb
1 2 1 1
Direct
0.333 0.667 0.839
0.667 0.333 0.680
0.333 0.667 0.318
0.667 0.333 0.161
0.000 0.000 0.002
```

Calculated volume: 33.783 Å³/atom
Mass density: 5.19 g cm⁻³
Uncorrected energy: -5.21 eV/atom
Symmetry: P3m1 (156)

=====

No. 15
Computed, not measured: SmGdSi2Br2 after structural relaxation at the GGA-PBE level of DFT.

The structure in POSCAR format:
```
SmGdSi2Br2
1.0
4.080 0.000 0.000
-2.040 3.533 0.000
0.000 0.000 11.167
Si Gd Br Sm
2 1 2 1
Direct
0.333 0.667 0.010
0.667 0.333 0.994
0.000 0.000 0.174
0.333 0.667 0.658
0.667 0.333 0.338
0.000 0.000 0.826
```

Calculated volume: 26.833 Å³/atom
Mass density: 5.40 g cm⁻³
Uncorrected energy: -5.17 eV/atom
Symmetry: P3m1 (156)

=====

No. 16
Computed, not measured: TbGdBr6 after structural relaxation at the GGA-PBE level of DFT.

The structure in POSCAR format:
```
TbGdBr6
1.0
-2.891 6.102 -2.447
-0.118 -1.496 7.024
6.768 1.398 -0.860
Br Tb Gd
6 1 1
Direct
0.585 0.938 0.245
0.418 0.063 0.754
0.766 0.768 0.753
0.232 0.234 0.247
0.062 0.415 0.755
0.937 0.582 0.246
0.834 0.166 0.000
0.166 0.834 0.000
```

Calculated volume: 36.219 Å³/atom
Mass density: 4.56 g cm⁻³
Uncorrected energy: -4.29 eV/atom
Symmetry: C2 (5)

=====

No. 17
Computed, not measured: GdTcBr3 after structural relaxation at the GGA-PBE level of DFT.

The structure in POSCAR format:
```
GdTcBr3
1.0
-3.911 1.897 3.528
-3.369 -4.225 -1.464
2.166 -3.146 4.093
Br Tc Gd
3 1 1
Direct
0.500 0.000 0.000
0.000 0.000 0.500
0.000 0.500 0.000
0.500 0.500 0.500
0.000 0.000 0.000
```

Calculated volume: 35.100 Å³/atom
Mass density: 4.68 g cm⁻³
Uncorrected energy: -4.14 eV/atom
Symmetry: Pm-3m (221)

=====

No. 18
Computed, not measured: GdYBr6 after structural relaxation at the GGA-PBE level of DFT.

The structure in POSCAR format:
```
GdYBr6
1.0
-0.864 2.791 6.536
-5.705 -1.766 -3.949
2.344 -6.300 1.656
Br Y Gd
6 1 1
Direct
0.765 0.762 0.754
0.413 0.061 0.752
0.064 0.418 0.752
0.582 0.936 0.248
0.238 0.235 0.246
0.939 0.587 0.248
0.166 0.834 0.000
0.834 0.166 0.000
```

Calculated volume: 35.812 Å³/atom
Mass density: 4.21 g cm⁻³
Uncorrected energy: -4.52 eV/atom
Symmetry: C2 (5)

=====

No. 19
Computed, not measured: GdYBr3 after structural relaxation at the GGA-PBE level of DFT.

The structure in POSCAR format:
```
GdYBr3
1.0
8.240 -1.971 0.000
8.240 1.971 0.000
-5.313 0.000 9.353
Br Y Gd
6 2 2
Direct
0.227 0.227 0.121
0.340 0.340 0.491
0.773 0.773 0.879
0.660 0.660 0.509
0.045 0.045 0.730
0.955 0.955 0.270
0.865 0.865 0.713
0.135 0.135 0.287
0.418 0.418 0.048
0.582 0.582 0.952
```

Calculated volume: 30.383 Å³/atom
Mass density: 5.31 g cm⁻³
Uncorrected energy: -4.73 eV/atom
Symmetry: C2/m (12)

=====

No. 20
Computed, not measured: HfHg2GeBr6 after structural relaxation at the GGA-PBE level of DFT.

The structure in POSCAR format:
```
HfHg2GeBr6
1.0
2.840 -6.277 3.496
-4.798 -5.174 3.145
-0.854 -6.954 -3.255
Br Hf Ge Hg
6 1 1 2
Direct
0.760 0.240 0.760
0.240 0.760 0.760
0.240 0.760 0.240
0.760 0.760 0.240
0.760 0.240 0.240
0.240 0.240 0.760
0.000 0.000 0.000
0.500 0.500 0.500
0.750 0.750 0.750
0.250 0.250 0.250
```

Calculated volume: 32.604 Å³/atom
Mass density: 5.76 g cm⁻³
Uncorrected energy: -3.23 eV/atom
Symmetry: Fm-3m (225)

=====

No. 21
Computed, not measured: K2HfGeBr6 after structural relaxation at the GGA-PBE level of DFT.

The structure in POSCAR format:
```
K2HfGeBr6
1.0
4.085 -6.496 2.285
-1.309 -3.220 7.213
-3.726 -7.061 0.616
Br K Ge Hf
6 2 1 1
Direct
0.265 0.265 0.735
0.735 0.265 0.265
0.735 0.265 0.735
0.265 0.735 0.735
0.265 0.735 0.265
0.735 0.735 0.265
0.750 0.750 0.750
0.250 0.250 0.250
0.000 0.000 0.000
0.500 0.500 0.500
```

Calculated volume: 36.299 Å³/atom
Mass density: 3.70 g cm⁻³
Uncorrected energy: -3.72 eV/atom
Symmetry: Fm-3m (225)

=====

No. 22
Computed, not measured: Tl2HgGeBr6 after structural relaxation at the GGA-PBE level of DFT.

The structure in POSCAR format:
```
Tl2HgGeBr6
1.0
4.047 -6.545 -1.592
-3.762 -6.857 -0.765
-0.614 -3.377 -7.069
Br Hg Ge Tl
6 1 1 2
Direct
0.754 0.754 0.246
0.246 0.246 0.754
0.754 0.246 0.246
0.246 0.754 0.246
0.246 0.754 0.754
0.754 0.246 0.754
0.500 0.500 0.500
0.000 0.000 0.000
0.250 0.250 0.250
0.750 0.750 0.750
```

Calculated volume: 34.313 Å³/atom
Mass density: 5.62 g cm⁻³
Uncorrected energy: -2.56 eV/atom
Symmetry: Fm-3m (225)

=====

No. 23
Computed, not measured: Pr2GeIBr after structural relaxation at the GGA-PBE level of DFT.

The structure in POSCAR format:
```
Pr2GeIBr
1.0
-2.644 -2.273 2.647
3.483 -1.941 -1.808
5.909 2.836 8.339
Br Ge I Pr
1 1 1 2
Direct
0.333 0.667 0.169
0.000 0.000 0.495
0.667 0.333 0.848
0.333 0.667 0.653
0.667 0.333 0.335
```

Calculated volume: 35.208 Å³/atom
Mass density: 5.29 g cm⁻³
Uncorrected energy: -4.82 eV/atom
Symmetry: P3m1 (156)